No. 1
Computed, not measured: Sr2LiGa2 after structural relaxation at the GGA-PBE level of DFT.

Calculated values
- Fermi-level density of states: 1.4 states/eV/f.u.
- Magnetization: 0.00 Bohr magnetons per cell
- Volume: 30.78 Å³ per atom
- E_tot: -2.368 eV/atom

Cell: 9.064 9.064 3.746 Å, 90.00 90.00 90.00°
Space group P4/mbm (No. 127)
One atom of each set of equivalent atoms:
Sr 0.183 0.317 0.000 x4
Li 0.000 0.000 0.000 x2
Ga 0.108 0.608 0.500 x4


No. 2
Computed, not measured: Sr2Li4Ga5 after structural relaxation at the GGA-PBE level of DFT.

Calculated values
- Fermi-level density of states: 5.0 states/eV/f.u.
- Magnetization: 0.00 Bohr magnetons per cell
- Volume: 21.78 Å³ per atom
- E_tot: -2.593 eV/atom

Cell: 12.298 5.843 8.709 Å, 90.00 130.04 90.00°
Space group C2/m (No. 12)
One atom of each set of equivalent atoms:
Sr 0.220 0.000 0.274 x4
Li 0.138 0.000 0.582 x4
Li 0.239 0.500 0.041 x4
Ga 0.000 0.500 0.000 x2
Ga 0.020 0.263 0.736 x8


No. 3
Computed, not measured: SrLi3Ga after structural relaxation at the GGA-PBE level of DFT.

Calculated values
- Fermi-level density of states: 2.5 states/eV/f.u.
- Magnetization: 0.00 Bohr magnetons per cell
- Volume: 24.59 Å³ per atom
- E_tot: -2.223 eV/atom

Cell: 13.864 10.641 6.863 Å, 90.00 103.73 90.00°
Space group C2/c (No. 15)
One atom of each set of equivalent atoms:
Sr 0.000 0.063 0.250 x4
Sr 0.000 0.357 0.750 x4
Li 0.188 0.172 0.085 x8
Li 0.200 0.173 0.606 x8
Li 0.200 0.500 0.103 x8
Ga 0.096 0.343 0.307 x8


No. 4
Computed, not measured: Sr12LiGa6 after structural relaxation at the GGA-PBE level of DFT.

Calculated values
- Fermi-level density of states: 22.8 states/eV/f.u.
- Magnetization: 3.80 Bohr magnetons per cell
- Volume: 39.59 Å³ per atom
- E_tot: -2.323 eV/atom

Cell: 11.459 11.459 11.459 Å, 90.00 90.00 90.00°
Space group Im-3 (No. 204)
One atom of each set of equivalent atoms:
Sr 0.000 0.305 0.189 x24
Li 0.000 0.000 0.000 x2
Ga 0.000 0.110 0.500 x12


No. 5
Computed, not measured: Sr2Li3Ga after structural relaxation at the GGA-PBE level of DFT.

Calculated values
- Fermi-level density of states: 3.6 states/eV/f.u.
- Magnetization: 0.00 Bohr magnetons per cell
- Volume: 29.21 Å³ per atom
- E_tot: -2.004 eV/atom

Cell: 5.081 5.880 11.732 Å, 90.00 90.00 90.00°
Space group Immm (No. 71)
One atom of each set of equivalent atoms:
Sr 0.000 0.000 0.209 x4
Li 0.000 0.500 0.098 x4
Li 0.000 0.500 0.500 x2
Ga 0.000 0.000 0.500 x2


No. 6
Computed, not measured: SrLiGa2 after structural relaxation at the GGA-PBE level of DFT.

Calculated values
- Fermi-level density of states: 2.4 states/eV/f.u.
- Magnetization: 0.00 Bohr magnetons per cell
- Volume: 24.12 Å³ per atom
- E_tot: -2.793 eV/atom

Cell: 4.4329 4.4329 17.0103 Å, 90.00 90.00 120.00°
Space group R-3m (No. 166, hexagonal axes)
One atom of each set of equivalent atoms:
Sr 0.0000 0.0000 0.0000 x3
Li 0.0000 0.0000 0.5000 x3
Ga 0.0000 0.0000 0.2002 x6